No. 1
# TlTcAgTe3

An optimized crystal structure of TlTcAgTe3 (PBE, the Open Quantum Materials Database).

Properties
- calculated total energy (eV per atom) = -4.231
- total magnetic moment (μB/atom) = 0.00

a = 8.3435 Å, b = 3.9602 Å, c = 10.3904 Å
α = 90.00°, β = 111.90°, γ = 90.00°
Last column: nearest neighbours and their distance in Å.
Space group P2_1/m (No. 11)
One atom of each set of equivalent atoms:
Tl 0.2466 0.2500 0.2857  8 Te 3.47-3.81, 2 Ag 3.70
Tc 0.2947 0.7500 0.8318  6 Te 2.70-2.77
Ag 0.0627 0.2500 0.6134  4 Te 2.77-2.92, 2 Ag 2.96, 2 Tc 3.09
Te 0.1105 0.2500 0.8921  2 Tc 2.72, 1 Ag 2.77
Te 0.2965 0.7500 0.5725  1 Tc 2.70, 3 Ag 2.90-2.92
Te 0.4619 0.7500 0.1174  3 Tc 2.74-2.77

No. 2
# SrIrW

An optimized crystal structure of SrIrW (PBE, the Open Quantum Materials Database).

Properties
- calculated total energy (eV per atom) = -5.481
- total magnetic moment (μB/atom) = 1.12

a = 6.7002 Å, b = 6.7002 Å, c = 6.7002 Å
α = 90.00°, β = 90.00°, γ = 90.00°
Last column: nearest neighbours and their distance in Å.
Space group F-43m (No. 216)
One atom of each set of equivalent atoms:
Sr 0.0000 0.0000 0.0000  4 W 2.90, 4 Ir 2.90
Ir 0.2500 0.2500 0.7500  4 Sr 2.90
W 0.2500 0.2500 0.2500  4 Sr 2.90

No. 3
# DyCdInSe3

An optimized crystal structure of DyCdInSe3 (PBE, the Open Quantum Materials Database).

Properties
- calculated total energy (eV per atom) = -4.123
- total magnetic moment (μB/atom) = 0.00

a = 4.2143 Å, b = 14.5063 Å, c = 11.0671 Å
α = 90.00°, β = 90.00°, γ = 90.00°
Last column: nearest neighbours and their distance in Å.
Space group Cmcm (No. 63)
One atom of each set of equivalent atoms:
Dy 0.0000 0.0000 0.0000  6 Se 2.91-2.97
Cd 0.0000 0.4580 0.2500  4 Se 2.62-2.71
In 0.0000 0.2520 0.7500  6 Se 3.28-3.53
Se 0.0000 0.0750 0.2500  2 Cd 2.71, 2 Dy 2.97
Se 0.0000 0.3660 0.0462  1 Cd 2.62, 2 Dy 2.91

No. 4
# NdSCl

An optimized crystal structure of NdSCl (PBE, the Open Quantum Materials Database).

Properties
- calculated total energy (eV per atom) = -5.766
- total magnetic moment (μB/atom) = 0.00

a = 6.9030 Å, b = 6.9417 Å, c = 6.9844 Å
α = 90.00°, β = 100.93°, γ = 90.00°
Last column: nearest neighbours and their distance in Å.
Space group P2_1/c (No. 14)
One atom of each set of equivalent atoms:
Nd 0.1908 0.0413 0.2932  4 S 2.81-2.83, 3 Cl 2.90-2.96
S 0.0566 0.7431 0.5106  4 Nd 2.81-2.83
Cl 0.4329 0.1525 0.6728  3 Nd 2.90-2.96

No. 5
# ZrBeFeGe

An optimized crystal structure of ZrBeFeGe (PBE, the Open Quantum Materials Database).

Properties
- calculated total energy (eV per atom) = -6.256
- total magnetic moment (μB/atom) = 0.28

a = 6.1332 Å, b = 6.1332 Å, c = 6.1332 Å
α = 90.00°, β = 90.00°, γ = 90.00°
Last column: nearest neighbours and their distance in Å.
Space group F-43m (No. 216)
One atom of each set of equivalent atoms:
Zr 0.0000 0.0000 0.0000  4 Ge 2.66, 4 Fe 2.66
Be 0.0000 0.0000 0.5000  4 Ge 2.66, 4 Fe 2.66
Fe 0.2500 0.2500 0.2500  4 Zr 2.66, 4 Be 2.66
Ge 0.2500 0.2500 0.7500  4 Zr 2.66, 4 Be 2.66

No. 6
# Zr2Al2FeNiIr2

An optimized crystal structure of Zr2Al2FeNiIr2 (PBE, the Open Quantum Materials Database).

Properties
- calculated total energy (eV per atom) = -7.729
- total magnetic moment (μB/atom) = 0.02

a = 4.4093 Å, b = 4.4093 Å, c = 6.2653 Å
α = 90.00°, β = 90.00°, γ = 90.00°
Last column: nearest neighbours and their distance in Å.
Space group P-4m2 (No. 115)
One atom of each set of equivalent atoms:
Zr 0.0000 0.5000 0.2499  2 Ni 2.70, 4 Ir 2.70, 2 Fe 2.70
Al 0.0000 0.5000 0.7499  2 Fe 2.70, 4 Ir 2.70, 2 Ni 2.70
Fe 0.0000 0.0000 0.5000  4 Al 2.70, 4 Zr 2.70
Ni 0.5000 0.5000 0.0000  4 Zr 2.70, 4 Al 2.70
Ir 0.0000 0.0000 0.0000  4 Zr 2.70, 4 Al 2.70
Ir 0.5000 0.5000 0.5000  4 Al 2.70, 4 Zr 2.70

No. 7
# HfGaTc

An optimized crystal structure of HfGaTc (PBE, the Open Quantum Materials Database).

Properties
- calculated total energy (eV per atom) = -7.739
- total magnetic moment (μB/atom) = 0.00

a = 6.1770 Å, b = 6.1770 Å, c = 6.1770 Å
α = 90.00°, β = 90.00°, γ = 90.00°
Last column: nearest neighbours and their distance in Å.
Space group F-43m (No. 216)
One atom of each set of equivalent atoms:
Hf 0.0000 0.0000 0.0000  4 Tc 2.67
Ga 0.0000 0.0000 0.5000  4 Tc 2.67
Tc 0.2500 0.2500 0.7500  4 Hf 2.67, 4 Ga 2.67

No. 8
# Tb2As

An optimized crystal structure of Tb2As (PBE, the Open Quantum Materials Database).

Properties
- calculated total energy (eV per atom) = -4.518
- total magnetic moment (μB/atom) = 0.00

a = 8.5884 Å, b = 8.5884 Å, c = 8.5884 Å
α = 90.00°, β = 90.00°, γ = 90.00°
Last column: nearest neighbours and their distance in Å.
Space group Fd-3m (No. 227, origin choice 2)
One atom of each set of equivalent atoms:
Tb 0.0000 0.0000 0.0000  6 Tb 3.04
As 0.1250 0.1250 0.6250  12 Tb 3.56, 4 As 3.72

No. 9
# Sr2CoSi2Ir

An optimized crystal structure of Sr2CoSi2Ir (PBE, the Open Quantum Materials Database).

Properties
- calculated total energy (eV per atom) = -5.634
- total magnetic moment (μB/atom) = 0.00

a = 4.0340 Å, b = 4.0340 Å, c = 8.5240 Å
α = 90.00°, β = 90.00°, γ = 90.00°
Last column: nearest neighbours and their distance in Å.
Space group P-4m2 (No. 115)
One atom of each set of equivalent atoms:
Sr 0.0000 0.5000 0.1869  4 Si 3.20, 2 Co 3.35, 2 Ir 3.35
Co 0.0000 0.0000 0.5000  4 Si 2.35
Si 0.0000 0.5000 0.6425  2 Co 2.35, 2 Ir 2.35
Ir 0.5000 0.5000 0.5000  4 Si 2.35

No. 10
# MoIrPt2

An optimized crystal structure of MoIrPt2 (PBE, the Open Quantum Materials Database).

Properties
- calculated total energy (eV per atom) = -7.842
- total magnetic moment (μB/atom) = 0.04

a = 6.2911 Å, b = 6.2911 Å, c = 6.2911 Å
α = 90.00°, β = 90.00°, γ = 90.00°
Last column: nearest neighbours and their distance in Å.
Space group F-43m (No. 216)
One atom of each set of equivalent atoms:
Mo 0.0000 0.0000 0.0000  4 Ir 2.72, 4 Pt 2.72
Ir 0.2500 0.2500 0.7500  4 Mo 2.72, 4 Pt 2.72
Pt 0.0000 0.0000 0.5000  4 Pt 2.72, 4 Ir 2.72
Pt 0.2500 0.2500 0.2500  4 Mo 2.72, 4 Pt 2.72

No. 11
# Pr2Al3CdNi2

An optimized crystal structure of Pr2Al3CdNi2 (PBE, the Open Quantum Materials Database).

Properties
- calculated total energy (eV per atom) = -4.575
- total magnetic moment (μB/atom) = 0.00

a = 10.3798 Å, b = 4.1932 Å, c = 7.2407 Å
α = 90.00°, β = 90.24°, γ = 90.00°
Last column: nearest neighbours and their distance in Å.
Space group Cm (No. 8)
One atom of each set of equivalent atoms:
Pr 0.0000 0.0000 0.0000  1 Ni 2.81
Pr 0.1195 0.0000 0.5116  3 Ni 2.98-3.05, 5 Al 3.19-3.24, 2 Cd 3.33
Al 0.2175 0.5000 0.8215  3 Ni 2.44-2.52
Al 0.2206 0.5000 0.2030  3 Ni 2.61-2.63, 1 Al 2.76
Al 0.3952 0.0000 0.7070  3 Ni 2.49-2.54
Cd 0.4109 0.0000 0.3133  3 Ni 2.69-2.74, 3 Al 2.86-2.99
Ni 0.2709 0.0000 0.0000  5 Al 2.49-2.61, 1 Cd 2.69
Ni 0.3329 0.5000 0.5289  4 Al 2.44-2.63

No. 12
# PmTaBi

An optimized crystal structure of PmTaBi (PBE, the Open Quantum Materials Database).

Properties
- calculated total energy (eV per atom) = -6.326
- total magnetic moment (μB/atom) = 0.17

a = 7.0144 Å, b = 7.0144 Å, c = 7.0144 Å
α = 90.00°, β = 90.00°, γ = 90.00°
Last column: nearest neighbours and their distance in Å.
Space group F-43m (No. 216)
One atom of each set of equivalent atoms:
Pm 0.0000 0.0000 0.0000  4 Bi 3.04
Ta 0.0000 0.0000 0.5000  4 Bi 3.04
Bi 0.2500 0.2500 0.2500  4 Ta 3.04, 4 Pm 3.04